Ta2CoO6, optimized geometry, DFT GGA+U; symmetry = No. 162; total magnetization = 3.0 μB/cell
1.0
5.183 0.000 0.000
-2.591 4.489 0.000
0.000 0.000 4.406
Co O Ta
1 6 2
Direct
0.000 0.000 0.000 Co
0.348 0.000 0.260 O
0.000 0.348 0.260 O
0.652 0.652 0.260 O
0.652 0.000 0.740 O
0.348 0.348 0.740 O
0.000 0.652 0.740 O
0.667 0.333 0.500 Ta
0.333 0.667 0.500 Ta

***

Ta2Co2O5, optimized geometry, DFT GGA+U; symmetry = No. 123; total magnetization = 1.6 μB/cell
1.0
6.041 0.000 0.000
0.000 3.735 0.000
0.000 0.000 3.735
Co O Ta
2 5 2
Direct
0.188 0.500 0.500 Co
0.812 0.500 0.500 Co
0.224 0.500 0.000 O
0.776 0.500 0.000 O
0.224 0.000 0.500 O
0.776 0.000 0.500 O
0.500 0.500 0.500 O
0.000 0.000 0.000 Ta
0.500 0.000 0.000 Ta

***

Ta2CoO6, optimized geometry, DFT GGA+U; symmetry = No. 136; total magnetization = 6.0 μB/cell
1.0
-3.993 -0.487 -2.517
1.978 -3.550 -2.451
-3.144 -5.995 6.147
Co O Ta
2 12 4
Direct
0.000 0.000 0.000 Co
0.500 0.500 0.500 Co
0.309 0.309 0.000 O
0.691 0.691 0.000 O
0.796 0.204 0.175 O
0.204 0.796 0.175 O
0.296 0.296 0.325 O
0.704 0.704 0.325 O
0.809 0.191 0.500 O
0.191 0.809 0.500 O
0.296 0.296 0.675 O
0.704 0.704 0.675 O
0.796 0.204 0.825 O
0.204 0.796 0.825 O
0.500 0.500 0.169 Ta
0.000 0.000 0.331 Ta
0.000 0.000 0.669 Ta
0.500 0.500 0.831 Ta

***

TaCo6O8, optimized geometry, DFT GGA+U; symmetry = No. 225; total magnetization = 17.0 μB/cell
1.0
1.799 4.154 4.025
-3.733 1.725 4.447
1.150 -1.625 5.721
Co O Ta
6 8 1
Direct
0.500 0.000 0.000 Co
0.000 0.500 0.000 Co
0.500 0.500 0.000 Co
0.000 0.000 0.500 Co
0.500 0.000 0.500 Co
0.000 0.500 0.500 Co
0.766 0.234 0.234 O
0.234 0.766 0.234 O
0.766 0.766 0.234 O
0.250 0.250 0.250 O
0.750 0.750 0.750 O
0.234 0.234 0.766 O
0.766 0.234 0.766 O
0.234 0.766 0.766 O
0.000 0.000 0.000 Ta

***

Ta2CoO6, optimized geometry, DFT GGA+U; symmetry = No. 12; total magnetization = 3.0 μB/cell
1.0
4.866 -1.869 0.000
4.866 1.869 0.000
-2.743 0.000 5.937
Co O Ta
1 6 2
Direct
0.000 0.000 0.000 Co
0.652 0.652 0.080 O
0.991 0.991 0.295 O
0.306 0.306 0.434 O
0.694 0.694 0.566 O
0.009 0.009 0.705 O
0.348 0.348 0.920 O
0.817 0.817 0.351 Ta
0.183 0.183 0.649 Ta

***

Ta2Co2O5, optimized geometry, DFT GGA+U; symmetry = No. 123; total magnetization = 4.6 μB/cell
1.0
-6.663 1.757 2.013
-1.302 -3.496 -1.257
0.673 -1.532 3.564
Co O Ta
2 5 2
Direct
0.000 0.000 0.000 Co
0.500 0.000 0.000 Co
0.209 0.500 0.000 O
0.791 0.500 0.000 O
0.209 0.000 0.500 O
0.791 0.000 0.500 O
0.500 0.500 0.500 O
0.218 0.500 0.500 Ta
0.782 0.500 0.500 Ta

***

TmTa4Co3O12, optimized geometry, DFT GGA+U; symmetry = No. 204; total magnetization = 6.3 μB/cell
1.0
-3.826 3.826 3.826
3.826 -3.826 3.826
3.826 3.826 -3.826
Co O Ta Tm
3 12 4 1
Direct
0.500 0.500 0.000 Co
0.500 0.000 0.500 Co
0.000 0.500 0.500 Co
0.288 0.820 0.108 O
0.468 0.288 0.180 O
0.892 0.712 0.180 O
0.820 0.108 0.288 O
0.180 0.468 0.288 O
0.288 0.180 0.468 O
0.712 0.820 0.532 O
0.820 0.532 0.712 O
0.180 0.892 0.712 O
0.108 0.288 0.820 O
0.532 0.712 0.820 O
0.712 0.180 0.892 O
0.500 0.000 0.000 Ta
0.000 0.500 0.000 Ta
0.000 0.000 0.500 Ta
0.500 0.500 0.500 Ta
0.000 0.000 0.000 Tm

***

Tb2Co2O5, optimized geometry, DFT GGA+U; symmetry = No. 123; total magnetization = 0.0 μB/cell
1.0
-1.215 1.425 6.650
0.264 -3.713 0.844
3.748 0.402 0.599
Co O Tb
2 5 2
Direct
0.210 0.500 0.500 Co
0.790 0.500 0.500 Co
0.219 0.500 0.000 O
0.781 0.500 0.000 O
0.219 0.000 0.500 O
0.781 0.000 0.500 O
0.500 0.500 0.500 O
0.000 0.000 0.000 Tb
0.500 0.000 0.000 Tb

***

Tb2Co2O5, optimized geometry, DFT GGA+U; symmetry = No. 123; total magnetization = 6.2 μB/cell
1.0
-0.196 0.222 8.819
3.658 -1.126 0.110
1.128 3.658 -0.067
Co O Tb
2 5 2
Direct
0.000 0.000 0.000 Co
0.500 0.000 0.000 Co
0.138 0.500 0.000 O
0.862 0.500 0.000 O
0.138 0.000 0.500 O
0.862 0.000 0.500 O
0.500 0.500 0.500 O
0.247 0.500 0.500 Tb
0.753 0.500 0.500 Tb

***

Co2Tc2O5, optimized geometry, DFT GGA+U; symmetry = No. 123; total magnetization = 5.7 μB/cell
1.0
-0.780 -6.304 -4.152
-1.433 -1.668 2.801
-3.239 1.072 -1.019
Co O Tc
2 5 2
Direct
0.230 0.500 0.500 Co
0.770 0.500 0.500 Co
0.161 0.500 0.000 O
0.839 0.500 0.000 O
0.161 0.000 0.500 O
0.839 0.000 0.500 O
0.500 0.500 0.500 O
0.000 0.000 0.000 Tc
0.500 0.000 0.000 Tc

***

Co3TeO6, optimized geometry, DFT GGA+U; symmetry = No. 148; total magnetization = 18.0 μB/cell
1.0
-0.205 -3.354 5.056
4.332 3.440 2.501
-4.222 3.693 2.322
Co O Te
6 12 2
Direct
0.742 0.565 0.051 Co
0.435 0.949 0.258 Co
0.949 0.258 0.435 Co
0.051 0.742 0.565 Co
0.565 0.051 0.742 Co
0.258 0.435 0.949 Co
0.697 0.907 0.050 O
0.950 0.303 0.093 O
0.429 0.576 0.197 O
0.093 0.950 0.303 O
0.803 0.571 0.424 O
0.576 0.197 0.429 O
0.424 0.803 0.571 O
0.197 0.429 0.576 O
0.907 0.050 0.697 O
0.571 0.424 0.803 O
0.050 0.697 0.907 O
0.303 0.093 0.950 O
0.000 0.000 0.000 Te
0.500 0.500 0.500 Te

***

Co3TeO6, optimized geometry, DFT GGA+U; symmetry = No. 146; total magnetization = 9.0 μB/cell
1.0
-2.979 0.913 4.508
1.437 3.564 3.908
-2.680 4.683 0.960
Co O Te
3 6 1
Direct
0.300 0.300 0.300 Co
0.511 0.511 0.511 Co
0.792 0.792 0.792 Co
0.380 0.728 0.105 O
0.900 0.616 0.210 O
0.728 0.105 0.380 O
0.210 0.900 0.616 O
0.105 0.380 0.728 O
0.616 0.210 0.900 O
0.001 0.001 0.001 Te

***

Co2Te3O8, optimized geometry, DFT GGA+U; symmetry = No. 15; total magnetization = 4.0 μB/cell
1.0
0.000 -5.182 0.000
-6.283 2.591 -0.009
1.781 0.000 -11.374
Co O Te
4 16 6
Direct
0.572 0.539 0.148 Co
0.033 0.461 0.352 Co
0.967 0.539 0.648 Co
0.428 0.461 0.852 Co
0.253 0.529 0.029 O
0.246 0.226 0.135 O
0.855 0.840 0.142 O
0.823 0.385 0.193 O
0.437 0.615 0.307 O
0.016 0.160 0.358 O
0.020 0.774 0.365 O
0.724 0.471 0.471 O
0.276 0.529 0.529 O
0.980 0.226 0.635 O
0.984 0.840 0.642 O
0.563 0.385 0.693 O
0.177 0.615 0.807 O
0.145 0.160 0.858 O
0.754 0.774 0.865 O
0.747 0.471 0.971 O
0.936 0.264 0.052 Te
0.168 0.000 0.250 Te
0.671 0.736 0.448 Te
0.329 0.264 0.552 Te
0.832 0.000 0.750 Te
0.064 0.736 0.948 Te

***

CoTe6O13, optimized geometry, DFT GGA+U; symmetry = No. 148; total magnetization = 6.0 μB/cell
1.0
5.039 2.909 6.281
-5.039 2.909 6.281
0.000 -5.819 6.281
Co O Te
2 26 12
Direct
0.244 0.244 0.244 Co
0.756 0.756 0.756 Co
0.135 0.385 0.046 O
0.397 0.419 0.105 O
0.798 0.875 0.119 O
0.881 0.202 0.125 O
0.385 0.046 0.135 O
0.452 0.703 0.200 O
0.125 0.881 0.202 O
0.800 0.548 0.297 O
0.046 0.135 0.385 O
0.419 0.105 0.397 O
0.416 0.416 0.416 O
0.105 0.397 0.419 O
0.703 0.200 0.452 O
0.297 0.800 0.548 O
0.895 0.603 0.581 O
0.584 0.584 0.584 O
0.581 0.895 0.603 O
0.954 0.865 0.615 O
0.200 0.452 0.703 O
0.875 0.119 0.798 O
0.548 0.297 0.800 O
0.615 0.954 0.865 O
0.119 0.798 0.875 O
0.202 0.125 0.881 O
0.603 0.581 0.895 O
0.865 0.615 0.954 O
0.329 0.915 0.025 Te
0.975 0.671 0.085 Te
0.569 0.484 0.167 Te
0.915 0.025 0.329 Te
0.516 0.833 0.431 Te
0.167 0.569 0.484 Te
0.833 0.431 0.516 Te
0.484 0.167 0.569 Te
0.085 0.975 0.671 Te
0.431 0.516 0.833 Te
0.025 0.329 0.915 Te
0.671 0.085 0.975 Te

***

ZnCoTeO, optimized geometry, DFT GGA+U; symmetry = No. 61; total magnetization = 14.2 μB/cell
1.0
-3.175 -3.961 3.491
-6.652 -4.516 -11.174
4.694 -4.590 -0.939
Co O Te Zn
8 8 8 8
Direct
0.754 0.082 0.071 Co
0.746 0.582 0.071 Co
0.254 0.082 0.429 Co
0.246 0.582 0.429 Co
0.754 0.418 0.571 Co
0.746 0.918 0.571 Co
0.254 0.418 0.929 Co
0.246 0.918 0.929 Co
0.766 0.230 0.124 O
0.734 0.730 0.124 O
0.266 0.230 0.376 O
0.234 0.730 0.376 O
0.766 0.270 0.624 O
0.734 0.770 0.624 O
0.266 0.270 0.876 O
0.234 0.770 0.876 O
0.001 0.456 0.246 Te
0.499 0.956 0.246 Te
0.501 0.456 0.254 Te
0.999 0.956 0.254 Te
0.001 0.044 0.746 Te
0.499 0.544 0.746 Te
0.501 0.044 0.754 Te
0.999 0.544 0.754 Te
0.445 0.254 0.128 Zn
0.055 0.754 0.128 Zn
0.945 0.254 0.372 Zn
0.555 0.754 0.372 Zn
0.445 0.246 0.628 Zn
0.055 0.746 0.628 Zn
0.945 0.246 0.872 Zn
0.555 0.746 0.872 Zn

***

ZnCoTeO, optimized geometry, DFT GGA+U; symmetry = No. 129; total magnetization = 5.9 μB/cell
1.0
4.017 0.000 0.000
0.000 4.017 0.000
0.000 0.000 8.226
Co O Te Zn
2 2 2 2
Direct
0.750 0.250 0.000 Co
0.250 0.750 0.000 Co
0.250 0.250 0.077 O
0.750 0.750 0.923 O
0.750 0.750 0.332 Te
0.250 0.250 0.668 Te
0.250 0.250 0.332 Zn
0.750 0.750 0.668 Zn

***

ZnCoTeO, optimized geometry, DFT GGA+U; symmetry = No. 36; total magnetization = 5.8 μB/cell
1.0
-6.114 -1.603 2.455
-3.958 -4.368 3.351
1.350 2.718 5.137
Co O Te Zn
2 2 2 2
Direct
0.657 0.657 0.482 Co
0.343 0.343 0.982 Co
0.923 0.923 0.028 O
0.077 0.077 0.528 O
0.676 0.676 0.032 Te
0.324 0.324 0.532 Te
0.952 0.952 0.350 Zn
0.048 0.048 0.850 Zn

***

ZnCoTeO, optimized geometry, DFT GGA+U; symmetry = No. 186; total magnetization = 4.0 μB/cell
1.0
-1.451 -2.368 -2.071
3.449 0.184 0.271
-0.327 -8.447 9.884
Co O Te Zn
2 2 2 2
Direct
0.000 0.000 0.474 Co
0.000 0.000 0.974 Co
0.000 0.000 0.326 O
0.000 0.000 0.826 O
0.667 0.333 0.100 Te
0.333 0.667 0.600 Te
0.333 0.667 0.288 Zn
0.667 0.333 0.788 Zn

***

no.,VASP energy (eV/atom)
1,-8.88
2,-7.28
3,-8.96
4,-6.75
5,-8.88
6,-7.98
7,-8.50
8,-6.95
9,-6.55
10,-6.54
11,-5.87
12,-5.87
13,-5.49
14,-5.40
15,-4.03
16,-4.09
17,-4.12
18,-4.00